Record 1
Cr2InCl after structural relaxation, computed with PBE.

The structure in extended XYZ format:
```
4
Lattice="-1.793 -2.044 -1.599 -2.445 -1.142 4.203 -3.302 3.629 -0.935" Properties=species:S:1:pos:R:3 pbc="T T T"
Cr 0.000 0.000 0.000
In -2.119 -1.593 1.302
Cl -2.548 0.792 -1.267
Cr -2.874 1.243 1.634
```

crystal system: tetragonal
space group: No. 123

=====

Record 2
CrIn2Cl after structural relaxation, computed with PBE.

The structure in extended XYZ format:
```
4
Lattice="-3.430 3.930 3.626 -5.456 -1.664 2.797 5.963 -2.043 -0.787" Properties=species:S:1:pos:R:3 pbc="T T T"
In 0.000 0.000 0.000
Cr -0.954 1.510 3.026
Cl -4.443 1.133 3.212
In -1.968 -1.287 2.611
```

crystal system: tetragonal
space group: No. 119

=====

Record 3
Cr2InCl after structural relaxation, computed with PBE.

The structure in extended XYZ format:
```
4
Lattice="8.359 0.007 0.004 7.683 3.292 0.004 7.683 1.580 2.888" Properties=species:S:1:pos:R:3 pbc="T T T"
Cl 17.793 3.659 2.172
Cr 11.759 2.418 1.436
Cr 0.104 0.021 0.013
In 5.931 1.220 0.724
```

crystal system: trigonal
space group: No. 166

=====

Record 4
Cr3In5Cl12 after structural relaxation, computed with PBE.

The structure in extended XYZ format:
```
20
Lattice="-3.007 0.128 2.398 -8.032 -0.004 -10.070 3.728 -11.147 5.269" Properties=species:S:1:pos:R:3 pbc="T T T"
Cl -5.732 -6.207 -3.769
Cl 2.000 -5.978 2.826
Cr -2.947 -3.677 -0.412
Cl -0.322 -8.573 3.141
Cl -6.375 -0.003 -7.993
Cr -6.841 0.061 -5.493
Cl -3.083 -8.717 -0.314
In -4.112 -3.718 -4.957
In -3.098 -8.027 -3.457
In -0.192 -7.433 0.156
In -2.250 -0.001 -2.821
Cl -6.934 -2.308 -5.483
Cl -0.888 -2.300 -0.990
Cl -1.996 -5.171 -2.227
Cl 2.959 -8.848 4.182
In 1.044 -3.123 1.476
Cl -1.680 -4.817 1.237
Cl -4.180 -2.449 -2.023
Cr 0.974 -7.344 4.700
Cl -4.307 -0.002 -5.401
```

crystal system: hexagonal
space group: No. 189

=====

Record 5
Cr2InCl after structural relaxation, computed with PBE.

The structure in extended XYZ format:
```
8
Lattice="7.305 0.000 0.000 0.000 7.305 0.000 3.653 3.653 3.227" Properties=species:S:1:pos:R:3 pbc="T T T"
In 7.305 3.653 1.613
Cl 3.653 3.653 0.000
Cr 9.132 8.897 2.420
In 0.000 0.000 0.000
Cr 5.479 5.714 2.420
Cr 5.244 1.826 0.807
Cr 2.061 5.479 0.807
Cl 3.653 7.305 1.613
```

crystal system: tetragonal
space group: No. 122

=====

Record 6
Cr2InCl after structural relaxation, computed with PBE.

The structure in extended XYZ format:
```
4
Lattice="-0.846 -1.429 -2.821 0.241 -2.011 2.572 -8.060 1.291 1.763" Properties=species:S:1:pos:R:3 pbc="T T T"
Cr -7.955 1.274 1.740
Cl -6.348 -0.752 1.198
Cr -4.135 0.662 0.905
In -2.318 -1.397 0.316
```

crystal system: orthorhombic
space group: No. 65

=====

Record 7
Cr2InCl after structural relaxation, computed with PBE.

The structure in extended XYZ format:
```
4
Lattice="5.097 -0.008 0.000 1.107 4.975 0.000 -3.102 -2.483 3.192" Properties=species:S:1:pos:R:3 pbc="T T T"
Cr 3.102 2.483 0.000
Cr 0.000 0.000 0.000
In 0.553 2.488 1.596
Cl 2.548 -0.004 1.596
```

crystal system: tetragonal
space group: No. 139

=====

Record 8
CrIn2Cl8 after structural relaxation, computed with PBE.

The structure in extended XYZ format:
```
11
Lattice="6.600 0.097 0.081 0.211 7.855 0.254 0.211 1.686 7.676" Properties=species:S:1:pos:R:3 pbc="T T T"
In 2.271 2.044 1.699
Cl 5.637 1.925 5.672
Cl 4.620 1.761 1.464
In 4.750 7.594 6.312
Cl 2.401 7.877 6.547
Cl 1.384 3.709 7.156
Cl 5.410 5.880 4.887
Cr 0.000 0.000 0.000
Cl 5.637 5.929 0.855
Cl 1.384 7.713 2.338
Cl 1.612 3.758 3.124
```

crystal system: monoclinic
space group: No. 12

=====

Record 9
CrIn2Cl after structural relaxation, computed with PBE.

The structure in extended XYZ format:
```
4
Lattice="0.563 -4.755 -2.063 -2.888 -1.420 -4.102 2.222 -0.563 -4.683" Properties=species:S:1:pos:R:3 pbc="T T T"
Cr -0.052 -3.369 -5.424
In -0.077 -5.054 -8.136
In -0.026 -1.685 -2.712
Cl 0.000 0.000 0.000
```

crystal system: cubic
space group: No. 225

=====

Record 10
Cr2InCl after structural relaxation, computed with PBE.

The structure in extended XYZ format:
```
4
Lattice="5.053 -0.060 0.000 -0.907 4.971 0.000 0.000 0.000 3.163" Properties=species:S:1:pos:R:3 pbc="T T T"
In 2.526 -0.030 1.582
Cr 0.000 0.000 0.000
Cl -0.453 2.486 1.582
Cr 2.073 2.456 0.000
```

crystal system: orthorhombic
space group: No. 65

=====

Record 11
Cr2InCl after structural relaxation, computed with PBE.

The structure in extended XYZ format:
```
4
Lattice="3.257 0.000 0.000 0.000 6.026 -0.174 0.000 4.273 4.109" Properties=species:S:1:pos:R:3 pbc="T T T"
Cr 0.000 0.000 0.000
Cl 0.000 2.136 2.054
In 1.629 5.149 1.967
Cr 1.629 3.013 -0.087
```

crystal system: monoclinic
space group: No. 10

=====

Record 12
KCrIn2Cl6 after structural relaxation, computed with PBE.

The structure in extended XYZ format:
```
20
Lattice="6.898 0.000 0.105 0.000 8.117 0.000 0.199 0.000 10.511" Properties=species:S:1:pos:R:3 pbc="T T T"
In 3.313 3.546 2.467
Cl 1.546 1.259 5.075
Cl 1.132 2.102 0.729
Cl 4.137 0.500 3.067
In 0.235 7.605 2.841
Cl 4.681 1.956 6.037
Cl 5.095 2.799 10.383
Cl 5.551 6.858 5.541
In 6.862 0.512 7.775
Cl 5.965 6.015 9.887
Cl 2.002 5.318 0.233
Cr 3.548 0.000 5.308
Cl 0.787 3.559 8.270
Cl 2.960 7.617 7.550
Cr 0.000 4.059 0.000
In 3.784 4.571 8.149
Cl 2.416 6.161 4.579
K 3.449 0.000 0.053
K 0.099 4.059 5.255
Cl 6.310 4.558 2.347
```

crystal system: monoclinic
space group: No. 14

=====

Formation energy (no corrections), respectively: 1.958, 0.787, 0.990, -18.065, 1.928, 1.318, 2.391, -10.988, 1.133, 1.937, 1.857, -11.705 eV/f.u..